Entry 1:
Here is a relaxed TaSi2P crystal from Alexandria via LeMat-Bulk. Energies are from PBE-GGA.

abc: 2.8505 2.8505 7.3365
angles: 90.00 90.00 90.00
Closest atoms and distances in Å follow each position.
Positions (direct):
P (0.5000, 0.5000, 0.7500)  8 Si 2.67, 4 P 2.85
Si (0.0000, 0.0000, 0.9880)  4 P 2.67, 4 Ta 2.78, 4 Si 2.85
Si (0.0000, 0.0000, 0.5120)  4 P 2.67, 4 Ta 2.78, 4 Si 2.85
Ta (0.5000, 0.5000, 0.2500)  8 Si 2.78, 4 Ta 2.85

The volume is 60 Å³ per cell. Its uncorrected formation energy is 24.9 kJ/mol of atoms. For the final energy, the calculation gives -6.77 eV/atom. Its symmetry is No. 123.

=====

Entry 2:
Here is a relaxed TaSi2P crystal from Alexandria via LeMat-Bulk. Energies are from PBE-GGA.

abc: 2.9569 2.9569 7.4142
angles: 90.00 90.00 106.21
Closest atoms and distances in Å follow each position.
Positions (direct):
P (0.5000, 0.5000, 0.7457)  2 Ta 2.52, 2 Si 2.61
Si (0.0000, 0.0000, 0.0041)  2 Si 2.52, 2 P 2.61
Si (0.5000, 0.5000, 0.2454)  2 Si 2.52, 2 Ta 2.62
Ta (0.0000, 0.0000, 0.5048)  2 P 2.52, 2 Si 2.62

The volume is 62 Å³ per cell. Its uncorrected formation energy is 13.9 kJ/mol of atoms. For the final energy, the calculation gives -6.88 eV/atom. Its symmetry is No. 35.

=====

Entry 3:
Here is a relaxed Ta2SiP crystal from Alexandria via LeMat-Bulk. Energies are from PBE-GGA.

abc: 3.0742 3.0739 6.5198
angles: 90.00 90.00 90.00
Closest atoms and distances in Å follow each position.
Positions (direct):
P (0.5000, 0.5000, 0.2500)  8 Ta 2.67
Si (0.5000, 0.5000, 0.7500)  8 Ta 2.76, 4 Si 3.07
Ta (0.0000, 0.0000, 0.0114)  4 P 2.67, 4 Si 2.76
Ta (0.0000, 0.0000, 0.4886)  4 P 2.67, 4 Si 2.76

The volume is 62 Å³ per cell. The distance to the lowest polymorph of the same formula comes out at 150 meV/atom. Its uncorrected formation energy is -30.4 kJ/mol of atoms. For the final energy, the calculation gives -8.95 eV/atom. Its symmetry is No. 123.